Below is CoTeBr2 after structural relaxation, with properties calculated at the GGA-PBEsol level.

Properties
D(E_F): 0.7805 states/eV per atom
formation energy without anion corrections: 0.0 eV per formula unit
calculated volume: 276.5 Å³ per cell
VASP energy: -14.96 eV/f.u.
calculated density: 6.2 g/cm³

Lattice parameters (Å, degrees): 3.4060 3.4060 27.5232 90.00 90.00 120.00
With the nearest neighbours (Å) after each atom.
Space group R-3m (No. 166, hexagonal axes)
Symmetry-distinct sites (fractional):
Co: 0.0000 0.0000 0.0000  6 Br 2.39
Te: 0.0000 0.0000 0.5000  6 Te 3.41, 6 Br 3.77
Br: 0.0000 0.0000 0.2837  3 Co 2.39